(1)
# Ca3TcMo, optimized geometry, DFT PBE
# Calculated total energy = -19.6 eV for the cell shown
# DOS at the Fermi energy = 6.81 states/eV/cell
# Formation enthalpy at 0 K = 1527 meV per atom
# Total magnetic moment = 1.130 μB per atom
# Polymorph energy (0 for the lowest one) = 0 meV per atom
data_Ca3TcMo
_cell_length_a 5.467
_cell_length_b 5.467
_cell_length_c 5.467
_cell_angle_alpha 90.00
_cell_angle_beta 90.00
_cell_angle_gamma 90.00
_space_group_name_H-M_alt 'P m -3 m'
_space_group_IT_number 221
_space_group_name_Hall '-P 4 2 3'
loop_
_atom_site_label
_atom_site_type_symbol
_atom_site_fract_x
_atom_site_fract_y
_atom_site_fract_z
Ca1 Ca 0.000 0.000 0.500
Tc1 Tc 0.500 0.500 0.500
Mo1 Mo 0.000 0.000 0.000


(2)
# Tc2Pt5Rh4, optimized geometry, DFT PBE
# Calculated total energy = -163.0 eV for the cell shown
# DOS at the Fermi energy = 28.88 states/eV/cell
# Formation enthalpy at 0 K = -106 meV per atom
# Total magnetic moment = 0.000 μB per atom
data_Tc2Pt5Rh4
_cell_length_a 8.738
_cell_length_b 3.893
_cell_length_c 9.954
_cell_angle_alpha 90.00
_cell_angle_beta 105.36
_cell_angle_gamma 90.00
_space_group_name_H-M_alt 'C 1 2/m 1'
_space_group_IT_number 12
_space_group_name_Hall '-C 2y'
loop_
_atom_site_label
_atom_site_type_symbol
_atom_site_fract_x
_atom_site_fract_y
_atom_site_fract_z
Tc1 Tc 0.087 0.000 0.136
Pt1 Pt 0.000 0.000 0.500
Pt2 Pt 0.133 0.500 0.953
Pt3 Pt 0.225 0.500 0.593
Rh1 Rh 0.047 0.500 0.309
Rh2 Rh 0.184 0.000 0.775


(3)
# Cs2RbBiPd, optimized geometry, DFT PBE
# Calculated total energy = -12.4 eV for the cell shown
# DOS at the Fermi energy = 4.03 states/eV/cell
# Formation enthalpy at 0 K = -125 meV per atom
# Total magnetic moment = 0.027 μB per atom
data_Cs2RbBiPd
_cell_length_a 6.815
_cell_length_b 6.815
_cell_length_c 5.420
_cell_angle_alpha 90.00
_cell_angle_beta 90.00
_cell_angle_gamma 90.00
_space_group_name_H-M_alt 'P 4/m m m'
_space_group_IT_number 123
_space_group_name_Hall '-P 4 2'
loop_
_atom_site_label
_atom_site_type_symbol
_atom_site_fract_x
_atom_site_fract_y
_atom_site_fract_z
Cs1 Cs 0.000 0.500 0.000
Rb1 Rb 0.000 0.000 0.500
Bi1 Bi 0.500 0.500 0.500
Pd1 Pd 0.500 0.500 0.000


(4)
# La2RuBr, optimized geometry, DFT PBE
# Calculated total energy = -46.0 eV for the cell shown
# DOS at the Fermi energy = 7.10 states/eV/cell
# Total magnetic moment = 0.000 μB per atom
# Polymorph energy (0 for the lowest one) = 361 meV per atom
# Formation energy (no corrections) = -0.55 eV/atom
data_La2RuBr
_cell_length_a 7.750
_cell_length_b 7.879
_cell_length_c 3.497
_cell_angle_alpha 90.00
_cell_angle_beta 105.51
_cell_angle_gamma 90.00
_space_group_name_H-M_alt 'C 1 2/m 1'
_space_group_IT_number 12
_space_group_name_Hall '-C 2y'
loop_
_atom_site_label
_atom_site_type_symbol
_atom_site_fract_x
_atom_site_fract_y
_atom_site_fract_z
La1 La 0.250 0.250 0.000
Ru1 Ru 0.000 0.000 0.500
Br1 Br 0.000 0.500 0.500


(5)
# UFeRh, optimized geometry, DFT PBE
# Calculated total energy = -160.7 eV for the cell shown
# DOS at the Fermi energy = 30.79 states/eV/cell
# Formation enthalpy at 0 K = 106 meV per atom
# Total magnetic moment = 0.299 μB per atom
# Polymorph energy (0 for the lowest one) = 159 meV per atom
data_UFeRh
_cell_length_a 4.2950
_cell_length_b 4.2950
_cell_length_c 22.1449
_cell_angle_alpha 90.00
_cell_angle_beta 90.00
_cell_angle_gamma 120.00
_space_group_name_H-M_alt 'R -3 m'
_space_group_IT_number 166
_space_group_name_Hall '-R 3 2"'
loop_
_atom_site_label
_atom_site_type_symbol
_atom_site_fract_x
_atom_site_fract_y
_atom_site_fract_z
U1 U 0.0000 0.0000 0.0799
Fe1 Fe 0.0000 0.0000 0.1726
Rh1 Rh 0.0000 0.0000 0.3325


(6)
# GaPtSe2Br, optimized geometry, DFT PBE
# Calculated total energy = -14.1 eV for the cell shown
# DOS at the Fermi energy = 7.35 states/eV/cell
# Total magnetic moment = 0.000 μB per atom
# Polymorph energy (0 for the lowest one) = 574 meV per atom
# Formation energy (no corrections) = 0.73 eV/atom
data_GaPtSe2Br
_cell_length_a 5.004
_cell_length_b 5.004
_cell_length_c 4.835
_cell_angle_alpha 90.00
_cell_angle_beta 90.00
_cell_angle_gamma 90.00
_space_group_name_H-M_alt 'P 4/m m m'
_space_group_IT_number 123
_space_group_name_Hall '-P 4 2'
loop_
_atom_site_label
_atom_site_type_symbol
_atom_site_fract_x
_atom_site_fract_y
_atom_site_fract_z
Ga1 Ga 0.000 0.000 0.000
Pt1 Pt 0.500 0.500 0.500
Se1 Se 0.000 0.500 0.000
Br1 Br 0.000 0.000 0.500


(7)
# CsLuBi2, optimized geometry, DFT PBE
# Calculated total energy = -14.9 eV for the cell shown
# DOS at the Fermi energy = 1.99 states/eV/cell
# Formation enthalpy at 0 K = -444 meV per atom
# Total magnetic moment = 0.000 μB per atom
# Polymorph energy (0 for the lowest one) = 0 meV per atom
data_CsLuBi2
_cell_length_a 3.718
_cell_length_b 3.718
_cell_length_c 10.162
_cell_angle_alpha 90.00
_cell_angle_beta 90.00
_cell_angle_gamma 90.00
_space_group_name_H-M_alt 'P 4/m m m'
_space_group_IT_number 123
_space_group_name_Hall '-P 4 2'
loop_
_atom_site_label
_atom_site_type_symbol
_atom_site_fract_x
_atom_site_fract_y
_atom_site_fract_z
Cs1 Cs 0.000 0.000 0.000
Lu1 Lu 0.000 0.000 0.500
Bi1 Bi 0.500 0.500 0.298


(8)
# Dy4GaAg3, optimized geometry, DFT PBE
# Calculated total energy = -33.1 eV for the cell shown
# DOS at the Fermi energy = 4.81 states/eV/cell
# Formation enthalpy at 0 K = -387 meV per atom
# Total magnetic moment = 0.000 μB per atom
data_Dy4GaAg3
_cell_length_a 3.581
_cell_length_b 3.581
_cell_length_c 14.771
_cell_angle_alpha 90.00
_cell_angle_beta 90.00
_cell_angle_gamma 90.00
_space_group_name_H-M_alt 'P 4/m m m'
_space_group_IT_number 123
_space_group_name_Hall '-P 4 2'
loop_
_atom_site_label
_atom_site_type_symbol
_atom_site_fract_x
_atom_site_fract_y
_atom_site_fract_z
Dy1 Dy 0.000 0.000 0.122
Dy2 Dy 0.000 0.000 0.374
Ga1 Ga 0.500 0.500 0.000
Ag1 Ag 0.500 0.500 0.248
Ag2 Ag 0.500 0.500 0.500


(9)
# KMgB2F8, optimized geometry, DFT PBE
# Calculated total energy = -191.4 eV for the cell shown
# DOS at the Fermi energy = 3.90 states/eV/cell
# Total magnetic moment = 0.034 μB per atom
# Formation energy (no corrections) = -2.73 eV/atom
data_KMgB2F8
_cell_length_a 4.9378
_cell_length_b 4.9378
_cell_length_c 24.8504
_cell_angle_alpha 90.00
_cell_angle_beta 90.00
_cell_angle_gamma 120.00
_space_group_name_H-M_alt 'R -3'
_space_group_IT_number 148
_space_group_name_Hall '-R 3'
loop_
_atom_site_label
_atom_site_type_symbol
_atom_site_fract_x
_atom_site_fract_y
_atom_site_fract_z
K1 K 0.0000 0.0000 0.0000
Mg1 Mg 0.0000 0.0000 0.5000
B1 B 0.0000 0.0000 0.2518
F1 F 0.0000 0.0000 0.3090
F2 F 0.0141 0.2799 0.2336


(10)
# PmMg2Cu9, optimized geometry, DFT PBE
# Calculated total energy = -140.4 eV for the cell shown
# DOS at the Fermi energy = 20.58 states/eV/cell
# Formation enthalpy at 0 K = -166 meV per atom
# Total magnetic moment = 0.000 μB per atom
data_PmMg2Cu9
_cell_length_a 5.0749
_cell_length_b 5.0749
_cell_length_c 24.1100
_cell_angle_alpha 90.00
_cell_angle_beta 90.00
_cell_angle_gamma 120.00
_space_group_name_H-M_alt 'R -3 m'
_space_group_IT_number 166
_space_group_name_Hall '-R 3 2"'
loop_
_atom_site_label
_atom_site_type_symbol
_atom_site_fract_x
_atom_site_fract_y
_atom_site_fract_z
Pm1 Pm 0.0000 0.0000 0.0000
Mg1 Mg 0.0000 0.0000 0.1457
Cu1 Cu 0.0000 0.0000 0.3332
Cu2 Cu 0.0000 0.0000 0.5000
Cu3 Cu 0.0026 0.5013 0.9149


(11)
# KSrP, optimized geometry, DFT PBE
# Calculated total energy = -19.6 eV for the cell shown
# DOS at the Fermi energy = 3.66 states/eV/cell
# Formation enthalpy at 0 K = -540 meV per atom
# Total magnetic moment = 0.000 μB per atom
data_KSrP
_cell_length_a 4.438
_cell_length_b 5.651
_cell_length_c 11.485
_cell_angle_alpha 82.01
_cell_angle_beta 79.63
_cell_angle_gamma 67.05
_space_group_name_H-M_alt 'P 1'
_space_group_IT_number 1
_space_group_name_Hall 'P 1'
loop_
_atom_site_label
_atom_site_type_symbol
_atom_site_fract_x
_atom_site_fract_y
_atom_site_fract_z
K1 K 0.000 0.000 0.000
K2 K 0.420 0.501 0.709
Sr1 Sr 0.257 0.047 0.473
Sr2 Sr 0.604 0.537 0.273
P1 P 0.894 0.937 0.297
P2 P 0.968 0.636 0.460


(12)
# BaMnCdCo2, optimized geometry, DFT PBE
# Calculated total energy = -22.9 eV for the cell shown
# DOS at the Fermi energy = 4.83 states/eV/cell
# Formation enthalpy at 0 K = 663 meV per atom
# Total magnetic moment = 1.304 μB per atom
data_BaMnCdCo2
_cell_length_a 4.754
_cell_length_b 4.754
_cell_length_c 5.120
_cell_angle_alpha 90.00
_cell_angle_beta 90.00
_cell_angle_gamma 90.00
_space_group_name_H-M_alt 'P 4/m m m'
_space_group_IT_number 123
_space_group_name_Hall '-P 4 2'
loop_
_atom_site_label
_atom_site_type_symbol
_atom_site_fract_x
_atom_site_fract_y
_atom_site_fract_z
Ba1 Ba 0.000 0.000 0.000
Mn1 Mn 0.500 0.500 0.500
Cd1 Cd 0.500 0.500 0.000
Co1 Co 0.000 0.500 0.500


Repeat the first record exactly.
# Ca3TcMo, optimized geometry, DFT PBE
# Calculated total energy = -19.6 eV for the cell shown
# DOS at the Fermi energy = 6.81 states/eV/cell
# Formation enthalpy at 0 K = 1527 meV per atom
# Total magnetic moment = 1.130 μB per atom
# Polymorph energy (0 for the lowest one) = 0 meV per atom
data_Ca3TcMo
_cell_length_a 5.467
_cell_length_b 5.467
_cell_length_c 5.467
_cell_angle_alpha 90.00
_cell_angle_beta 90.00
_cell_angle_gamma 90.00
_space_group_name_H-M_alt 'P m -3 m'
_space_group_IT_number 221
_space_group_name_Hall '-P 4 2 3'
loop_
_atom_site_label
_atom_site_type_symbol
_atom_site_fract_x
_atom_site_fract_y
_atom_site_fract_z
Ca1 Ca 0.000 0.000 0.500
Tc1 Tc 0.500 0.500 0.500
Mo1 Mo 0.000 0.000 0.000


- Which formula does entry 6 have?
  GaPtSe2Br


- Among the records above, which one has the highest total magnetic moment?
  BaMnCdCo2


- The lowest calculated total energy belongs to which entry?
  KMgB2F8